Entry 1:
# AlRhAu2 SCAN PBEsol geometry
data_AlRhAu2
_chemical_formula_sum 'Al1 Rh1 Au2'
_cell_length_a 2.9134
_cell_length_b 3.7605
_cell_length_c 5.5952
_cell_angle_alpha 90.00
_cell_angle_beta 90.00
_cell_angle_gamma 90.00
_symmetry_space_group_name_H-M 'P 1'
_symmetry_Int_Tables_number 1
loop_
_symmetry_equiv_pos_as_xyz
'x,y,z'
loop_
_atom_site_label
_atom_site_type_symbol
_atom_site_fract_x
_atom_site_fract_y
_atom_site_fract_z
Al1 Al 0.5000 0.5000 0.5000
Au1 Au 0.0000 0.0000 0.7456
Au2 Au 0.0000 0.0000 0.2544
Rh1 Rh 0.5000 0.5000 0.0000
# **Magnetic moment**: 0.0 μB per formula unit
# **ΔE_f**: -1.09 eV/f.u.
# **DOS at the Fermi energy**: 2.27 states/eV/cell

Entry 2:
# AlRhAu3 SCAN PBEsol geometry
data_AlRhAu3
_chemical_formula_sum 'Al1 Rh1 Au3'
_cell_length_a 4.5976
_cell_length_b 4.5976
_cell_length_c 4.5976
_cell_angle_alpha 90.00
_cell_angle_beta 90.00
_cell_angle_gamma 90.00
_symmetry_space_group_name_H-M 'P 1'
_symmetry_Int_Tables_number 1
loop_
_symmetry_equiv_pos_as_xyz
'x,y,z'
loop_
_atom_site_label
_atom_site_type_symbol
_atom_site_fract_x
_atom_site_fract_y
_atom_site_fract_z
Au1 Au 0.0000 0.5000 0.0000
Au2 Au 0.5000 0.0000 0.0000
Au3 Au 0.0000 0.0000 0.5000
Rh1 Rh 0.5000 0.5000 0.5000
Al1 Al 0.0000 0.0000 0.0000
# **Magnetic moment**: 1.1 μB per formula unit
# **ΔE_f**: 3.23 eV/f.u.
# **DOS at the Fermi energy**: 3.22 states/eV/cell

Raw total energy, record by record: -45.232, -49.154 eV per atom